# VBO4 GGA-PBEsol optimized geometry
# Energy relative to the elements, uncorrected: -2310 meV/atom
# E: -8.5847 eV per atom
data_VBO4
_symmetry_space_group_name_H-M 'P -1'
_symmetry_Int_Tables_number 2
_cell_length_a 7.898
_cell_length_b 7.919
_cell_length_c 8.214
_cell_angle_alpha 116.84
_cell_angle_beta 106.26
_cell_angle_gamma 93.61
loop_
_symmetry_equiv_pos_as_xyz
'x,y,z'
'-x,-y,-z'
loop_
_atom_site_label
_atom_site_fract_x
_atom_site_fract_y
_atom_site_fract_z
V1 0.149 0.005 0.267
V2 0.282 0.432 0.031
V3 0.315 0.692 0.601
B1 0.041 0.609 0.255
B2 0.243 0.006 0.934
B3 0.426 0.319 0.606
O1 0.050 0.939 0.812
O2 0.095 0.653 0.456
O3 0.096 0.780 0.239
O4 0.144 0.464 0.162
O5 0.154 0.466 0.843
O6 0.263 0.008 0.119
O7 0.265 0.164 0.512
O8 0.311 0.202 0.972
O9 0.341 0.872 0.830
O10 0.370 0.485 0.588
O11 0.449 0.759 0.500
O12 0.480 0.613 0.186

***

# SrMgAl2 GGA-PBEsol optimized geometry
# E: -2.9211 eV per atom
# E_form: 0.014 eV/atom
data_SrMgAl2
_symmetry_space_group_name_H-M 'P 4/m m m'
_symmetry_Int_Tables_number 123
_symmetry_space_group_name_Hall '-P 4 2'
_cell_length_a 4.677
_cell_length_b 4.677
_cell_length_c 4.373
_cell_angle_alpha 90.00
_cell_angle_beta 90.00
_cell_angle_gamma 90.00
loop_
_atom_site_label
_atom_site_fract_x
_atom_site_fract_y
_atom_site_fract_z
Sr1 0.000 0.000 0.000
Mg1 0.500 0.500 0.000
Al1 0.000 0.500 0.500

***

# CaMo4Os GGA-PBEsol optimized geometry
# E: -9.7130 eV per atom
# E_form: 0.524 eV/atom
data_CaMo4Os
_symmetry_space_group_name_H-M 'F -4 3 m'
_symmetry_Int_Tables_number 216
_symmetry_space_group_name_Hall 'F -4 2 3'
_cell_length_a 7.387
_cell_length_b 7.387
_cell_length_c 7.387
_cell_angle_alpha 90.00
_cell_angle_beta 90.00
_cell_angle_gamma 90.00
loop_
_atom_site_label
_atom_site_fract_x
_atom_site_fract_y
_atom_site_fract_z
Ca1 0.000 0.000 0.000
Mo1 0.126 0.126 0.374
Os1 0.250 0.250 0.750

***

# CdBiO2F GGA-PBEsol optimized geometry
# Energy relative to the elements, uncorrected: -877 meV/atom
# E: -4.4584 eV per atom
data_CdBiO2F
_symmetry_space_group_name_H-M 'P 4/m m m'
_symmetry_Int_Tables_number 123
_symmetry_space_group_name_Hall '-P 4 2'
_cell_length_a 4.364
_cell_length_b 4.364
_cell_length_c 4.425
_cell_angle_alpha 90.00
_cell_angle_beta 90.00
_cell_angle_gamma 90.00
loop_
_atom_site_label
_atom_site_fract_x
_atom_site_fract_y
_atom_site_fract_z
Cd1 0.000 0.000 0.000
Bi1 0.500 0.500 0.500
O1 0.000 0.500 0.500
F1 0.500 0.500 0.000

***

# Tl2NiF4 GGA-PBEsol optimized geometry
# Energy relative to the elements, uncorrected: -1672 meV/atom
# E: -4.4046 eV per atom
data_Tl2NiF4
_symmetry_space_group_name_H-M 'I 4/m m m'
_symmetry_Int_Tables_number 139
_symmetry_space_group_name_Hall '-I 4 2'
_cell_length_a 4.028
_cell_length_b 4.028
_cell_length_c 13.764
_cell_angle_alpha 90.00
_cell_angle_beta 90.00
_cell_angle_gamma 90.00
loop_
_atom_site_label
_atom_site_fract_x
_atom_site_fract_y
_atom_site_fract_z
Tl1 0.000 0.000 0.149
Ni1 0.000 0.000 0.500
F1 0.000 0.000 0.356
F2 0.000 0.500 0.000

***

# Cd2AsIr GGA-PBEsol optimized geometry
# E: -4.3173 eV per atom
# E_form: 0.014 eV/atom
data_Cd2AsIr
_symmetry_space_group_name_H-M 'C 1 m 1'
_symmetry_Int_Tables_number 8
_cell_length_a 12.491
_cell_length_b 2.955
_cell_length_c 4.580
_cell_angle_alpha 90.00
_cell_angle_beta 111.39
_cell_angle_gamma 90.00
loop_
_symmetry_equiv_pos_as_xyz
'x,y,z'
'x,-y,z'
'x+1/2,y+1/2,z'
'x+1/2,-y+1/2,z'
loop_
_atom_site_label
_atom_site_fract_x
_atom_site_fract_y
_atom_site_fract_z
Cd1 0.000 0.000 0.000
Cd2 0.178 0.000 0.677
As1 0.300 0.500 0.298
Ir1 0.467 0.000 0.467

***

# BaNb2Ni2 GGA-PBEsol optimized geometry
# E: -6.8877 eV per atom
# E_form: 0.334 eV/atom
data_BaNb2Ni2
_symmetry_space_group_name_H-M 'I 4/m m m'
_symmetry_Int_Tables_number 139
_symmetry_space_group_name_Hall '-I 4 2'
_cell_length_a 4.185
_cell_length_b 4.185
_cell_length_c 11.457
_cell_angle_alpha 90.00
_cell_angle_beta 90.00
_cell_angle_gamma 90.00
loop_
_atom_site_label
_atom_site_fract_x
_atom_site_fract_y
_atom_site_fract_z
Ba1 0.000 0.000 0.000
Nb1 0.000 0.500 0.250
Ni1 0.000 0.000 0.377

***

# NdNi2As2 GGA-PBEsol optimized geometry
# E: -6.4239 eV per atom
# E_form: -0.885 eV/atom
data_NdNi2As2
_symmetry_space_group_name_H-M 'P 4/n m m'
_symmetry_Int_Tables_number 129
_cell_length_a 4.162
_cell_length_b 4.162
_cell_length_c 9.303
_cell_angle_alpha 90.00
_cell_angle_beta 90.00
_cell_angle_gamma 90.00
loop_
_symmetry_equiv_pos_as_xyz
'x,y,z'
'-x,-y,-z'
'-y+1/2,x,z'
'y+1/2,-x,-z'
'-x+1/2,-y+1/2,z'
'x+1/2,y+1/2,-z'
'y,-x+1/2,z'
'-y,x+1/2,-z'
'x+1/2,-y,-z'
'-x+1/2,y,z'
'-y,-x,-z'
'y,x,z'
'-x,y+1/2,-z'
'x,-y+1/2,z'
'y+1/2,x+1/2,-z'
'-y+1/2,-x+1/2,z'
loop_
_atom_site_label
_atom_site_fract_x
_atom_site_fract_y
_atom_site_fract_z
Nd1 0.250 0.250 0.248
Ni1 0.250 0.250 0.619
Ni2 0.250 0.750 0.000
As1 0.250 0.250 0.872
As2 0.250 0.750 0.500

***

# TcRhW2 GGA-PBEsol optimized geometry
# Distance to the lowest polymorph of the same formula: 0.000 eV per atom
# E: -11.7464 eV per atom
# E_form: 0.009 eV/atom
data_TcRhW2
_symmetry_space_group_name_H-M 'C m m m'
_symmetry_Int_Tables_number 65
_symmetry_space_group_name_Hall '-C 2 2'
_cell_length_a 5.544
_cell_length_b 7.725
_cell_length_c 2.744
_cell_angle_alpha 90.00
_cell_angle_beta 90.00
_cell_angle_gamma 90.00
loop_
_atom_site_label
_atom_site_fract_x
_atom_site_fract_y
_atom_site_fract_z
Tc1 0.000 0.000 0.000
Rh1 0.000 0.500 0.000
W1 0.250 0.250 0.500

***

# Ba2LaAu GGA-PBEsol optimized geometry
# Distance to the lowest polymorph of the same formula: 0.201 eV per atom
# E: -3.4931 eV per atom
# E_form: -0.101 eV/atom
data_Ba2LaAu
_symmetry_space_group_name_H-M 'R -3 m'
_symmetry_Int_Tables_number 166
_symmetry_space_group_name_Hall '-R 3 2"'
_cell_length_a 4.1481
_cell_length_b 4.1481
_cell_length_c 32.7547
_cell_angle_alpha 90.00
_cell_angle_beta 90.00
_cell_angle_gamma 120.00
loop_
_atom_site_label
_atom_site_fract_x
_atom_site_fract_y
_atom_site_fract_z
Ba1 0.0000 0.0000 0.2314
La1 0.0000 0.0000 0.0000
Au1 0.0000 0.0000 0.5000

***

# KBiO2 GGA-PBEsol optimized geometry
# Energy relative to the elements, uncorrected: -1226 meV/atom
# E: -5.2057 eV per atom
data_KBiO2
_symmetry_space_group_name_H-M 'I -4 2 d'
_symmetry_Int_Tables_number 122
_symmetry_space_group_name_Hall 'I -4 2bw'
_cell_length_a 6.052
_cell_length_b 6.052
_cell_length_c 9.632
_cell_angle_alpha 90.00
_cell_angle_beta 90.00
_cell_angle_gamma 90.00
loop_
_atom_site_label
_atom_site_fract_x
_atom_site_fract_y
_atom_site_fract_z
K1 0.000 0.000 0.000
Bi1 0.000 0.000 0.500
O1 0.187 0.750 0.625

***

# SrYZr2 GGA-PBEsol optimized geometry
# Distance to the lowest polymorph of the same formula: 0.000 eV per atom
# E: -6.3224 eV per atom
# E_form: 0.388 eV/atom
data_SrYZr2
_symmetry_space_group_name_H-M 'C 1 2/m 1'
_symmetry_Int_Tables_number 12
_cell_length_a 11.229
_cell_length_b 3.288
_cell_length_c 6.161
_cell_angle_alpha 90.00
_cell_angle_beta 97.68
_cell_angle_gamma 90.00
loop_
_symmetry_equiv_pos_as_xyz
'x,y,z'
'-x,-y,-z'
'-x,y,-z'
'x,-y,z'
'x+1/2,y+1/2,z'
'-x+1/2,-y+1/2,-z'
'-x+1/2,y+1/2,-z'
'x+1/2,-y+1/2,z'
loop_
_atom_site_label
_atom_site_fract_x
_atom_site_fract_y
_atom_site_fract_z
Sr1 0.000 0.000 0.000
Y1 0.000 0.500 0.500
Zr1 0.243 0.000 0.708

***

# BaLi2Ir GGA-PBEsol optimized geometry
# Distance to the lowest polymorph of the same formula: 0.000 eV per atom
# E: -3.8211 eV per atom
# E_form: 0.155 eV/atom
data_BaLi2Ir
_symmetry_space_group_name_H-M 'P 4 m m'
_symmetry_Int_Tables_number 99
_cell_length_a 3.452
_cell_length_b 3.452
_cell_length_c 7.676
_cell_angle_alpha 90.00
_cell_angle_beta 90.00
_cell_angle_gamma 90.00
loop_
_symmetry_equiv_pos_as_xyz
'x,y,z'
'-y,x,z'
'-x,-y,z'
'y,-x,z'
'-x,y,z'
'y,x,z'
'x,-y,z'
'-y,-x,z'
loop_
_atom_site_label
_atom_site_fract_x
_atom_site_fract_y
_atom_site_fract_z
Ba1 0.000 0.000 0.000
Li1 0.000 0.000 0.392
Li2 0.500 0.500 0.582
Ir1 0.500 0.500 0.253

***

# CaAlCd GGA-PBEsol optimized geometry
# E: -2.1057 eV per atom
# E_form: 0.368 eV/atom
data_CaAlCd
_symmetry_space_group_name_H-M 'F -4 3 m'
_symmetry_Int_Tables_number 216
_symmetry_space_group_name_Hall 'F -4 2 3'
_cell_length_a 7.016
_cell_length_b 7.016
_cell_length_c 7.016
_cell_angle_alpha 90.00
_cell_angle_beta 90.00
_cell_angle_gamma 90.00
loop_
_atom_site_label
_atom_site_fract_x
_atom_site_fract_y
_atom_site_fract_z
Ca1 0.000 0.000 0.000
Al1 0.250 0.250 0.250
Cd1 0.250 0.250 0.750

***

# CaNiRu GGA-PBEsol optimized geometry
# E: -5.8656 eV per atom
# E_form: 0.289 eV/atom
data_CaNiRu
_symmetry_space_group_name_H-M 'I m m 2'
_symmetry_Int_Tables_number 44
_cell_length_a 2.754
_cell_length_b 3.672
_cell_length_c 10.040
_cell_angle_alpha 90.00
_cell_angle_beta 90.00
_cell_angle_gamma 90.00
loop_
_symmetry_equiv_pos_as_xyz
'x,y,z'
'-x,-y,z'
'-x,y,z'
'x,-y,z'
'x+1/2,y+1/2,z+1/2'
'-x+1/2,-y+1/2,z+1/2'
'-x+1/2,y+1/2,z+1/2'
'x+1/2,-y+1/2,z+1/2'
loop_
_atom_site_label
_atom_site_fract_x
_atom_site_fract_y
_atom_site_fract_z
Ca1 0.000 0.000 0.000
Ni1 0.000 0.000 0.290
Ru1 0.000 0.000 0.711

***

# K2Na2Hg GGA-PBEsol optimized geometry
# Distance to the lowest polymorph of the same formula: 0.049 eV per atom
# E: -1.1154 eV per atom
# E_form: 0.011 eV/atom
data_K2Na2Hg
_symmetry_space_group_name_H-M 'I 4/m m m'
_symmetry_Int_Tables_number 139
_symmetry_space_group_name_Hall '-I 4 2'
_cell_length_a 4.462
_cell_length_b 4.462
_cell_length_c 21.600
_cell_angle_alpha 90.00
_cell_angle_beta 90.00
_cell_angle_gamma 90.00
loop_
_atom_site_label
_atom_site_fract_x
_atom_site_fract_y
_atom_site_fract_z
K1 0.000 0.000 0.090
Na1 0.000 0.500 0.250
Hg1 0.000 0.000 0.500

***

# LaOsS2Cl GGA-PBEsol optimized geometry
# Energy relative to the elements, uncorrected: 729 meV/atom
# E: -4.9383 eV per atom
data_LaOsS2Cl
_symmetry_space_group_name_H-M 'P 4/m m m'
_symmetry_Int_Tables_number 123
_symmetry_space_group_name_Hall '-P 4 2'
_cell_length_a 5.458
_cell_length_b 5.458
_cell_length_c 5.313
_cell_angle_alpha 90.00
_cell_angle_beta 90.00
_cell_angle_gamma 90.00
loop_
_atom_site_label
_atom_site_fract_x
_atom_site_fract_y
_atom_site_fract_z
La1 0.000 0.000 0.000
Os1 0.500 0.500 0.500
S1 0.000 0.500 0.000
Cl1 0.000 0.000 0.500

***

# MgCuSnB2 GGA-PBEsol optimized geometry
# E: -3.8558 eV per atom
# E_form: 1.013 eV/atom
data_MgCuSnB2
_symmetry_space_group_name_H-M 'P 4/m m m'
_symmetry_Int_Tables_number 123
_symmetry_space_group_name_Hall '-P 4 2'
_cell_length_a 3.901
_cell_length_b 3.901
_cell_length_c 5.438
_cell_angle_alpha 90.00
_cell_angle_beta 90.00
_cell_angle_gamma 90.00
loop_
_atom_site_label
_atom_site_fract_x
_atom_site_fract_y
_atom_site_fract_z
Mg1 0.000 0.000 0.000
Cu1 0.500 0.500 0.500
Sn1 0.500 0.500 0.000
B1 0.000 0.500 0.500

***

# Sm2GeRu3 GGA-PBEsol optimized geometry
# E: -7.9909 eV per atom
# E_form: -0.384 eV/atom
data_Sm2GeRu3
_symmetry_space_group_name_H-M 'R -3 m'
_symmetry_Int_Tables_number 166
_symmetry_space_group_name_Hall '-R 3 2"'
_cell_length_a 5.4948
_cell_length_b 5.4948
_cell_length_c 12.1000
_cell_angle_alpha 90.00
_cell_angle_beta 90.00
_cell_angle_gamma 120.00
loop_
_atom_site_label
_atom_site_fract_x
_atom_site_fract_y
_atom_site_fract_z
Sm1 0.0000 0.0000 0.1269
Ge1 0.0000 0.0000 0.5000
Ru1 0.0000 0.5000 0.0000

***

# SbOs4Au GGA-PBEsol optimized geometry
# Energy relative to the elements, uncorrected: 1001 meV/atom
# E: -8.5565 eV per atom
data_SbOs4Au
_symmetry_space_group_name_H-M 'F -4 3 m'
_symmetry_Int_Tables_number 216
_symmetry_space_group_name_Hall 'F -4 2 3'
_cell_length_a 7.379
_cell_length_b 7.379
_cell_length_c 7.379
_cell_angle_alpha 90.00
_cell_angle_beta 90.00
_cell_angle_gamma 90.00
loop_
_atom_site_label
_atom_site_fract_x
_atom_site_fract_y
_atom_site_fract_z
Sb1 0.000 0.000 0.000
Os1 0.125 0.125 0.625
Au1 0.250 0.250 0.250